No. 1
## AcPrZn (PBE-GGA)

Data for a relaxed structure of AcPrZn.

Computed properties:
Formation enthalpy at 0 K ... -0.5 eV/f.u.
Total DFT energy (no corrections) ... -3.5536 eV per atom
Polymorph energy (0 for the lowest one) ... 0.0 meV/atom
DOS(E_F) ... 1.21 states/eV/atom
Symmetry ... I4mm (107)

extended XYZ file:
```
3
Lattice="-1.933 1.933 6.460 1.933 -1.933 6.460 1.933 1.933 -6.460" Properties=species:S:1:pos:R:3 pbc="T T T"
Ac 0.000 0.000 0.000
Pr 0.000 0.000 3.684
Zn 0.000 0.000 8.497
```

No. 2
## Sr3PrTl2 (PBE-GGA)

Data for a relaxed structure of Sr3PrTl2.

Computed properties:
Formation enthalpy at 0 K ... -1.7 eV/f.u.
Total DFT energy (no corrections) ... -2.7078 eV per atom
DOS(E_F) ... 1.24 states/eV/atom
Symmetry ... Pmc2_1 (26)

extended XYZ file:
```
12
Lattice="5.620 0.000 0.000 0.000 10.466 0.000 0.000 0.000 7.561" Properties=species:S:1:pos:R:3 pbc="T T T"
Sr 0.000 0.599 0.000
Sr 0.000 3.397 2.693
Sr 0.000 7.069 6.473
Sr 0.000 9.867 3.780
Sr 2.810 1.873 5.246
Sr 2.810 8.593 1.465
Pr 2.810 4.629 0.345
Pr 2.810 5.837 4.125
Tl 0.000 3.774 6.154
Tl 0.000 6.692 2.373
Tl 2.810 1.615 1.787
Tl 2.810 8.851 5.568
```

No. 3
## ZrMnCr (PBE-GGA)

Data for a relaxed structure of ZrMnCr.

Computed properties:
Formation enthalpy at 0 K ... 0.3 eV/f.u.
Total DFT energy (no corrections) ... -9.0200 eV per atom
Polymorph energy (0 for the lowest one) ... 220.9 meV/atom
DOS(E_F) ... 1.19 states/eV/atom
Symmetry ... Cmcm (63)

extended XYZ file:
```
6
Lattice="1.502 -6.939 0.000 1.502 6.939 0.000 0.000 0.000 4.304" Properties=species:S:1:pos:R:3 pbc="T T T"
Zr 1.502 5.784 3.228
Zr 1.502 -5.784 1.076
Mn 1.502 1.633 3.228
Mn 1.502 -1.633 1.076
Cr 1.502 3.560 1.076
Cr 1.502 -3.560 3.228
```

No. 4
## HoThOs (PBE-GGA)

Data for a relaxed structure of HoThOs.

Computed properties:
Formation enthalpy at 0 K ... -0.5 eV/f.u.
Total DFT energy (no corrections) ... -7.8934 eV per atom
Polymorph energy (0 for the lowest one) ... 123.3 meV/atom
DOS(E_F) ... 1.18 states/eV/atom
Symmetry ... I4mm (107)

extended XYZ file:
```
3
Lattice="-1.704 1.704 6.737 1.704 -1.704 6.737 1.704 1.704 -6.737" Properties=species:S:1:pos:R:3 pbc="T T T"
Ho 0.000 0.000 0.000
Th 0.000 0.000 3.485
Os 0.000 0.000 8.464
```

No. 5
## Tb3CeDy2As6 (PBE-GGA)

Data for a relaxed structure of Tb3CeDy2As6.

Computed properties:
Formation enthalpy at 0 K ... -18.3 eV/f.u.
Total DFT energy (no corrections) ... -6.2690 eV per atom
DOS(E_F) ... 0.48 states/eV/atom
Symmetry ... C2/m (12)

extended XYZ file:
```
12
Lattice="3.588 -6.213 0.000 3.588 6.213 0.000 -2.392 0.000 6.770" Properties=species:S:1:pos:R:3 pbc="T T T"
Tb 0.000 0.000 0.000
Tb 3.588 2.067 0.000
Tb 3.588 -2.067 0.000
Ce 2.392 0.000 3.385
Dy 2.392 4.142 3.385
Dy 2.392 -4.142 3.385
As 1.193 2.076 1.693
As -0.006 0.000 5.070
As 1.193 -2.076 1.693
As 3.590 2.076 5.077
As 4.789 0.000 1.700
As 3.590 -2.076 5.077
```

No. 6
## HgAs2Br (PBE-GGA)

Data for a relaxed structure of HgAs2Br.

Computed properties:
Total DFT energy (no corrections) ... -2.6862 eV per atom
Polymorph energy (0 for the lowest one) ... 181.8 meV/atom
DOS(E_F) ... 0.29 states/eV/atom
Formation energy without anion corrections ... 0.132 eV per atom
Symmetry ... Imm2 (44)

extended XYZ file:
```
4
Lattice="-1.841 2.355 6.102 1.841 -2.355 6.102 1.841 2.355 -6.102" Properties=species:S:1:pos:R:3 pbc="T T T"
Hg 0.000 0.000 0.000
As 1.841 0.000 4.238
As 0.000 0.000 6.009
Br 0.000 2.355 2.964
```

No. 7
## CoRe (PBE-GGA)

Data for a relaxed structure of CoRe.

Computed properties:
Formation enthalpy at 0 K ... 0.1 eV/f.u.
Total DFT energy (no corrections) ... -9.7023 eV per atom
DOS(E_F) ... 1.22 states/eV/atom
Symmetry ... P-6m2 (187)

extended XYZ file:
```
2
Lattice="2.677 0.000 0.000 -1.338 2.318 0.000 0.000 0.000 4.146" Properties=species:S:1:pos:R:3 pbc="T T T"
Co 0.000 0.000 0.000
Re 1.338 0.773 2.073
```

No. 8
## YGaCl2 (PBE-GGA)

Data for a relaxed structure of YGaCl2.

Computed properties:
Total DFT energy (no corrections) ... -4.1989 eV per atom
Polymorph energy (0 for the lowest one) ... 78.4 meV/atom
DOS(E_F) ... 0.23 states/eV/atom
Formation energy without anion corrections ... -0.903 eV per atom
Symmetry ... R-3m (166)

extended XYZ file:
```
4
Lattice="1.934 1.117 9.232 -1.934 1.117 9.232 0.000 -2.233 9.232" Properties=species:S:1:pos:R:3 pbc="T T T"
Y 0.000 0.000 0.000
Ga 0.000 0.000 13.847
Cl 0.000 0.000 2.609
Cl 0.000 0.000 25.086
```

No. 9
## Tb4MgP4O16 (PBE-GGA)

Data for a relaxed structure of Tb4MgP4O16.

Computed properties:
Total DFT energy (no corrections) ... -7.5789 eV per atom
Polymorph energy (0 for the lowest one) ... 85.9 meV/atom
Formation energy without anion corrections ... -2.735 eV per atom
Symmetry ... P1 (1)

extended XYZ file:
```
25
Lattice="6.572 0.000 0.000 0.501 6.628 0.000 1.042 0.328 7.719" Properties=species:S:1:pos:R:3 pbc="T T T"
Tb 0.000 0.000 0.000
Tb 1.544 4.717 3.234
Tb 3.022 1.331 4.963
Tb 4.158 2.931 0.003
Mg 5.469 6.325 2.537
P 1.011 3.194 0.119
P 3.460 6.296 0.626
P 4.584 4.451 4.362
P 6.547 1.316 4.750
O 1.503 4.782 7.167
O 1.326 6.625 4.653
O 1.003 2.416 4.339
O 1.993 3.476 1.299
O 2.260 6.290 1.609
O 2.952 2.700 6.852
O 3.865 6.743 6.943
O 3.497 3.407 3.960
O 3.875 5.825 4.004
O 3.914 0.853 1.024
O 4.358 5.052 0.823
O 5.010 4.309 5.812
O 5.247 1.219 3.911
O 5.832 4.458 3.445
O 6.074 1.506 6.228
O 6.381 2.322 0.595
```

No. 10
## TlAg2Te2S6 (PBE-GGA)

Data for a relaxed structure of TlAg2Te2S6.

Computed properties:
Total DFT energy (no corrections) ... -3.5153 eV per atom
DOS(E_F) ... 0.51 states/eV/atom
Formation energy without anion corrections ... 0.041 eV per atom
Symmetry ... P-1 (2)

extended XYZ file:
```
11
Lattice="6.979 0.000 0.000 -3.164 6.906 0.000 -2.035 -2.719 6.989" Properties=species:S:1:pos:R:3 pbc="T T T"
Tl 0.000 0.000 0.000
Ag -1.904 3.877 3.119
Ag 3.684 0.310 3.870
Te 0.101 1.088 5.024
Te 1.679 3.099 1.965
S -1.120 1.285 2.887
S -1.790 0.295 6.217
S 1.518 -0.804 4.525
S 0.262 4.991 2.464
S 3.570 3.892 0.772
S 2.900 2.902 4.101
```

No. 11
## Sb2PAu (PBE-GGA)

Data for a relaxed structure of Sb2PAu.

Computed properties:
Total DFT energy (no corrections) ... -3.9485 eV per atom
DOS(E_F) ... 0.37 states/eV/atom
Formation energy without anion corrections ... 0.284 eV per atom
Symmetry ... Imm2 (44)

extended XYZ file:
```
4
Lattice="-1.753 2.681 4.862 1.753 -2.681 4.862 1.753 2.681 -4.862" Properties=species:S:1:pos:R:3 pbc="T T T"
Sb 0.000 0.000 0.000
Sb 0.000 2.681 1.543
P 1.753 0.000 2.092
Au 0.000 0.000 4.036
```